An optimized crystal structure of Li2Ac3SbO9, computed with GGA-PBE.

Cell and atoms, written as CIF:
```
data_Li2Ac3SbO9
_space_group_name_H-M_alt 'P -3 m 1'
_space_group_IT_number 164
_space_group_name_Hall '-P 3 2"'
_cell_length_a 5.6398
_cell_length_b 5.6398
_cell_length_c 7.0511
_cell_angle_alpha 90.00
_cell_angle_beta 90.00
_cell_angle_gamma 120.00
loop_
_atom_site_label
_atom_site_type_symbol
_atom_site_fract_x
_atom_site_fract_y
_atom_site_fract_z
Li1 Li 0.3333 0.6667 0.1878
Ac1 Ac 0.0000 0.0000 0.0000
Ac2 Ac 0.3333 0.6667 0.6988
Sb1 Sb 0.0000 0.0000 0.5000
O1 O 0.0000 0.5000 0.0000
O2 O 0.1630 0.3260 0.3334
```

For the uncorrected formation energy, the calculation gives -2.37 eV/atom.

An optimized crystal structure of LiAc2ScO6, computed with GGA-PBE.

Cell and atoms, written as CIF:
```
data_LiAc2ScO6
_space_group_name_H-M_alt 'P 1 21/c 1'
_space_group_IT_number 14
_cell_length_a 5.9320
_cell_length_b 5.5736
_cell_length_c 10.1182
_cell_angle_alpha 90.00
_cell_angle_beta 124.79
_cell_angle_gamma 90.00
loop_
_space_group_symop_operation_xyz
'x,y,z'
'-x,-y,-z'
'-x,y+1/2,-z+1/2'
'x,-y+1/2,z+1/2'
loop_
_atom_site_label
_atom_site_type_symbol
_atom_site_fract_x
_atom_site_fract_y
_atom_site_fract_z
Li1 Li 0.0000 0.0000 0.0000
Ac1 Ac 0.2353 0.0053 0.7435
Sc1 Sc 0.5000 0.0000 0.5000
O1 O 0.1944 0.2451 0.4461
O2 O 0.2027 0.7451 0.4458
O3 O 0.3480 0.0031 0.2554
```

For the uncorrected formation energy, the calculation gives -2.70 eV/atom.

An optimized crystal structure of LiAc2SeO5, computed with GGA-PBE.

Cell and atoms, written as CIF:
```
data_LiAc2SeO5
_space_group_name_H-M_alt 'P 4/m b m'
_space_group_IT_number 127
_space_group_name_Hall '-P 4 2ab'
_cell_length_a 7.2240
_cell_length_b 7.2240
_cell_length_c 5.9787
_cell_angle_alpha 90.00
_cell_angle_beta 90.00
_cell_angle_gamma 90.00
loop_
_atom_site_label
_atom_site_type_symbol
_atom_site_fract_x
_atom_site_fract_y
_atom_site_fract_z
Li1 Li 0.0000 0.0000 0.0000
Ac1 Ac 0.1789 0.3211 0.5000
Se1 Se 0.0000 0.5000 0.0000
O1 O 0.0000 0.0000 0.5000
O2 O 0.1342 0.6342 0.2460
```

For the uncorrected formation energy, the calculation gives -2.08 eV/atom.